This record from Alexandria describes a relaxed structure of SmEr6Tl5. The functional is PBE-GGA.

a b c (Å): 5.002 8.728 9.103
angles (deg): 118.65 105.95 90.00
Atoms (fractional coordinates):
1 Tl 0.681 0.681 0.363
2 Er 0.500 0.276 0.000
3 Er 0.500 0.724 0.000
4 Er 0.830 0.095 0.660
5 Sm 0.000 0.000 0.000
6 Tl 0.648 0.148 0.297
7 Tl 0.319 0.319 0.637
8 Tl 0.000 0.500 0.000
9 Er 0.830 0.565 0.660
10 Er 0.170 0.905 0.340
11 Tl 0.352 0.852 0.703
12 Er 0.170 0.435 0.340

Output
The density of states at the Fermi level comes out at 11.86 states/eV per cell. For the calculated formation energy, the calculation gives -255 meV/atom.

=====

This record from Alexandria describes a relaxed structure of MgCo2Rh. The functional is PBE-GGA.

a b c (Å): 4.606 4.606 2.679
angles (deg): 90.00 90.00 112.13
Atoms (fractional coordinates):
1 Co 0.000 0.000 0.000
2 Mg 0.500 0.000 0.500
3 Rh 0.000 0.500 0.500
4 Co 0.500 0.500 0.000

Output
The density of states at the Fermi level comes out at 6.17 states/eV per cell. For the calculated formation energy, the calculation gives 76 meV/atom.

=====

This record from Alexandria describes a relaxed structure of LaSmNiPd. The functional is PBE-GGA.

a b c (Å): 3.901 4.541 5.672
angles (deg): 90.00 110.12 90.00
Atoms (fractional coordinates):
1 Sm 0.135 0.000 0.270
2 Pd 0.421 0.000 0.842
3 La 0.860 0.500 0.720
4 Ni 0.584 0.500 0.167

Output
The density of states at the Fermi level comes out at 2.48 states/eV per cell. For the calculated formation energy, the calculation gives -574 meV/atom.

=====

| no. | VASP energy (eV per atom) | ρ (g cm⁻³) |
| --- | --- | --- |
| 1 | -3.9152 | 10.907 |
| 2 | -5.7138 | 7.729 |
| 3 | -5.7297 | 7.998 |